[1]
The following is a DFT calculation (PBE-GGA) of a relaxed structure of SbHI2.

As for the excess energy over the best structure of this formula in the dataset: 73.0 meV per atom.

a b c (Å): 4.9021 5.9709 6.2472
angles (deg): 79.85 85.08 68.75
Space group P1 (No. 1)
Unique sites:
1 Sb 0.0000 0.0000 0.0000
2 H 0.7631 0.8402 0.0779
3 I 0.1113 0.0054 0.4285
4 I 0.5264 0.4391 0.8978


[2]
The following is a DFT calculation (PBE-GGA) of a relaxed structure of SbHI.

As for the excess energy over the best structure of this formula in the dataset: 0.0 meV per atom.

a b c (Å): 5.1202 6.1590 6.5922
angles (deg): 90.00 93.84 90.00
Space group P2_1 (No. 4)
Unique sites:
1 Sb 0.0138 0.0000 0.4941
2 H 0.2706 0.5035 0.3761
3 I 0.2773 0.2732 0.8515


[3]
The following is a DFT calculation (PBE-GGA) of a relaxed structure of SbH2I2.

As for the excess energy over the best structure of this formula in the dataset: 149.2 meV per atom.

a b c (Å): 5.5123 5.5123 7.7891
angles (deg): 90.00 90.00 90.00
Space group I4/mmm (No. 139)
Unique sites:
1 Sb 0.0000 0.0000 0.0000
2 H 0.0000 0.0000 0.4517
3 I 0.0000 0.5000 0.2500


[4]
The following is a DFT calculation (PBE-GGA) of a relaxed structure of SbH2I2.

As for the excess energy over the best structure of this formula in the dataset: 0.0 meV per atom.

a b c (Å): 8.5680 11.5822 8.1583
angles (deg): 90.00 105.28 90.00
Space group C2/m (No. 12)
Unique sites:
1 Sb 0.0000 0.2504 0.0000
2 H 0.2039 0.0000 0.0015
3 H 0.2085 0.5000 0.0014
4 I 0.1827 0.2500 0.7322


[5]
The following is a DFT calculation (PBE-GGA) of a relaxed structure of SbHI.

As for the excess energy over the best structure of this formula in the dataset: 44.6 meV per atom.

a b c (Å): 4.2338 7.2094 13.4495
angles (deg): 74.94 85.12 88.47
Space group P-1 (No. 2)
Unique sites:
1 Sb 0.2320 0.0496 0.0635
2 Sb 0.2677 0.4449 0.9384
3 H 0.1079 0.5390 0.6437
4 H 0.2751 0.2421 0.5289
5 I 0.0975 0.2610 0.3543
6 I 0.4147 0.2334 0.6431


[6]
The following is a DFT calculation (PBE-GGA) of a relaxed structure of SbHI3.

As for the excess energy over the best structure of this formula in the dataset: 710.0 meV per atom.

a b c (Å): 5.1211 5.1211 5.1211
angles (deg): 90.00 90.00 90.00
Space group Pm-3m (No. 221)
Unique sites:
1 Sb 0.0000 0.0000 0.0000
2 H 0.5000 0.5000 0.5000
3 I 0.0000 0.5000 0.5000


[7]
The following is a DFT calculation (PBE-GGA) of a relaxed structure of SbHI2.

As for the excess energy over the best structure of this formula in the dataset: 0.0 meV per atom.

a b c (Å): 4.2801 16.0868 8.3474
angles (deg): 90.00 90.00 90.00
Space group Cmc2_1 (No. 36)
Unique sites:
1 Sb 0.0000 0.0820 0.0000
2 H 0.0000 0.0884 0.7924
3 I 0.0000 0.2838 0.4859
4 I 0.0000 0.4475 0.9517


[8]
The following is a DFT calculation (PBE-GGA) of a relaxed structure of SbHI.

As for the excess energy over the best structure of this formula in the dataset: 2.0 meV per atom.

a b c (Å): 4.7018 6.1335 7.5124
angles (deg): 90.92 104.12 111.45
Space group P-1 (No. 2)
Unique sites:
1 Sb 0.1479 0.0918 0.1947
2 H 0.4892 0.7837 0.8586
3 I 0.2727 0.6836 0.2901


[9]
The following is a DFT calculation (PBE-GGA) of a relaxed structure of SbHI4.

a b c (Å): 7.0324 21.1162 7.6856
angles (deg): 90.00 94.31 90.00
Space group C2/c (No. 15)
Unique sites:
1 Sb 0.0000 0.0509 0.2500
2 H 0.0000 0.3516 0.7500
3 I 0.2421 0.3451 0.8838
4 I 0.2439 0.0521 0.5944


[10]
The following is a DFT calculation (PBE-GGA) of a relaxed structure of SbH3I.

As for the excess energy over the best structure of this formula in the dataset: 616.2 meV per atom.

a b c (Å): 4.1546 4.1546 4.1546
angles (deg): 90.00 90.00 90.00
Space group Pm-3m (No. 221)
Unique sites:
1 Sb 0.0000 0.0000 0.0000
2 H 0.0000 0.5000 0.5000
3 I 0.5000 0.5000 0.5000


[11]
The following is a DFT calculation (PBE-GGA) of a relaxed structure of SbH2I2.

As for the excess energy over the best structure of this formula in the dataset: 629.7 meV per atom.

a b c (Å): 6.1704 6.1704 6.3781
angles (deg): 90.00 90.00 90.00
Space group P4/mbm (No. 127)
Unique sites:
1 Sb 0.0000 0.0000 0.0000
2 H 0.2388 0.2612 0.0000
3 I 0.1830 0.6830 0.5000


[12]
The following is a DFT calculation (PBE-GGA) of a relaxed structure of SbHI2.

As for the excess energy over the best structure of this formula in the dataset: 0.6 meV per atom.

a b c (Å): 13.6466 4.2864 4.9095
angles (deg): 90.00 94.85 90.00
Space group Cm (No. 8)
Unique sites:
1 Sb 0.0000 0.0000 0.0000
2 H 0.0657 0.0000 0.7123
3 I 0.1458 0.5000 0.2138
4 I 0.3735 0.0000 0.6955


[13]
The following is a DFT calculation (PBE-GGA) of a relaxed structure of SbH3I.

As for the excess energy over the best structure of this formula in the dataset: 0.0 meV per atom.

a b c (Å): 4.1422 4.1422 4.1422
angles (deg): 90.00 90.00 90.00
Space group Pm-3m (No. 221)
Unique sites:
1 Sb 0.0000 0.0000 0.0000
2 H 0.0000 0.0000 0.5000
3 I 0.5000 0.5000 0.5000


[14]
The following is a DFT calculation (PBE-GGA) of a relaxed structure of SbHI2.

As for the excess energy over the best structure of this formula in the dataset: 795.6 meV per atom.

a b c (Å): 7.5575 7.5575 7.5575
angles (deg): 90.00 90.00 90.00
Space group Fm-3m (No. 225)
Unique sites:
1 Sb 0.0000 0.0000 0.0000
2 H 0.0000 0.0000 0.5000
3 I 0.2500 0.2500 0.2500


[15]
The following is a DFT calculation (PBE-GGA) of a relaxed structure of SbHI2.

As for the excess energy over the best structure of this formula in the dataset: 1.1 meV per atom.

a b c (Å): 7.1836 4.8623 8.4573
angles (deg): 90.00 107.78 90.00
Space group Pc (No. 7)
Unique sites:
1 Sb 0.0000 0.2031 0.0000
2 H 0.1454 0.4956 0.0412
3 I 0.2869 0.0075 0.8233
4 I 0.7541 0.4915 0.1894


[16]
The following is a DFT calculation (PBE-GGA) of a relaxed structure of SbH2I6.

a b c (Å): 15.3066 14.6007 7.3236
angles (deg): 90.00 106.30 90.00
Space group C2/c (No. 15)
Unique sites:
1 Sb 0.0000 0.0863 0.2500
2 H 0.1240 0.4724 0.1810
3 I 0.1141 0.0730 0.9803
4 I 0.1154 0.4109 0.9881
5 I 0.1406 0.2109 0.4554


[17]
The following is a DFT calculation (PBE-GGA) of a relaxed structure of Sb4H2I3.

a b c (Å): 15.5895 12.4532 8.3321
angles (deg): 90.00 99.79 90.00
Space group C2/c (No. 15)
Unique sites:
1 Sb 0.1192 0.1618 0.2338
2 Sb 0.2219 0.2431 0.8267
3 H 0.1511 0.1774 0.4432
4 I 0.0000 0.3526 0.2500
5 I 0.2316 0.4969 0.2412


[18]
The following is a DFT calculation (PBE-GGA) of a relaxed structure of SbHI3.

As for the excess energy over the best structure of this formula in the dataset: 0.0 meV per atom.

a b c (Å): 12.5258 6.5103 9.8930
angles (deg): 90.00 90.00 90.00
Space group Ima2 (No. 46)
Unique sites:
1 Sb 0.2500 0.2171 0.0000
2 H 0.2500 0.0626 0.5986
3 I 0.0062 0.2492 0.5154
4 I 0.2500 0.5215 0.7673


[19]
The following is a DFT calculation (PBE-GGA) of a relaxed structure of SbHI2.

As for the excess energy over the best structure of this formula in the dataset: 4.2 meV per atom.

a b c (Å): 4.7385 7.7902 8.3218
angles (deg): 72.29 87.78 82.70
Space group P-1 (No. 2)
Unique sites:
1 Sb 0.2003 0.2363 0.9999
2 H 0.4896 0.6669 0.9986
3 I 0.0032 0.5891 0.7281
4 I 0.4971 0.9107 0.2713


[20]
The following is a DFT calculation (PBE-GGA) of a relaxed structure of SbHI2.

As for the excess energy over the best structure of this formula in the dataset: 17.7 meV per atom.

a b c (Å): 4.4399 7.6102 9.5797
angles (deg): 104.61 91.01 106.78
Space group P1 (No. 1)
Unique sites:
1 Sb 0.0000 0.0000 0.0000
2 Sb 0.0007 0.9676 0.4765
3 H 0.3734 0.9688 0.9799
4 H 0.8369 0.8061 0.8520
5 I 0.1414 0.2385 0.7827
6 I 0.3674 0.7251 0.5585
7 I 0.6008 0.2110 0.3913
8 I 0.8635 0.7000 0.1682


[21]
The following is a DFT calculation (PBE-GGA) of a relaxed structure of SbHI3.

As for the excess energy over the best structure of this formula in the dataset: 369.0 meV per atom.

a b c (Å): 6.0150 6.0150 6.0150
angles (deg): 90.00 90.00 90.00
Space group Pm-3m (No. 221)
Unique sites:
1 Sb 0.0000 0.0000 0.0000
2 H 0.5000 0.5000 0.5000
3 I 0.0000 0.0000 0.5000


[22]
The following is a DFT calculation (PBE-GGA) of a relaxed structure of SbHI2.

As for the excess energy over the best structure of this formula in the dataset: 36.5 meV per atom.

a b c (Å): 4.3996 8.2605 8.6868
angles (deg): 92.36 93.81 103.98
Space group P1 (No. 1)
Unique sites:
1 Sb 0.0000 0.0000 0.0000
2 Sb 0.4027 0.3847 0.6986
3 H 0.0219 0.9719 0.1970
4 H 0.8016 0.4868 0.7323
5 I 0.3472 0.5564 0.4347
6 I 0.3920 0.7309 0.9865
7 I 0.5600 0.0982 0.5789
8 I 0.6424 0.2571 0.0811


[23]
The following is a DFT calculation (PBE-GGA) of a relaxed structure of SbHI2.

As for the excess energy over the best structure of this formula in the dataset: 695.8 meV per atom.

a b c (Å): 7.4160 7.4160 8.1790
angles (deg): 90.00 90.00 90.00
Space group I-42d (No. 122)
Unique sites:
1 Sb 0.0000 0.0000 0.0000
2 H 0.0000 0.0000 0.5000
3 I 0.1960 0.2500 0.6250


[24]
The following is a DFT calculation (PBE-GGA) of a relaxed structure of SbHI3.

As for the excess energy over the best structure of this formula in the dataset: 37.3 meV per atom.

a b c (Å): 5.1479 7.7570 10.8440
angles (deg): 78.89 81.25 87.59
Space group P-1 (No. 2)
Unique sites:
1 Sb 0.1491 0.0194 0.1796
2 H 0.1927 0.7475 0.5288
3 I 0.0195 0.3438 0.3399
4 I 0.2602 0.7758 0.0095
5 I 0.4957 0.8453 0.3483


Number 1: final energy -2.7254 eV per atom. Number 2: final energy -3.0031 eV per atom. Number 3: final energy -2.6674 eV per atom. Number 4: final energy -2.8166 eV per atom. Number 5: final energy -2.9585 eV per atom. Number 6: final energy -1.7882 eV per atom. Number 7: final energy -2.7983 eV per atom. Number 8: final energy -3.0011 eV per atom. Number 9: final energy -2.4770 eV per atom. Number 10: final energy -2.0384 eV per atom. Number 11: final energy -2.1869 eV per atom. Number 12: final energy -2.7978 eV per atom. Number 13: final energy -2.6546 eV per atom. Number 14: final energy -2.0027 eV per atom. Number 15: final energy -2.7972 eV per atom. Number 16: final energy -2.3053 eV per atom. Number 17: final energy -3.0615 eV per atom. Number 18: final energy -2.4982 eV per atom. Number 19: final energy -2.7941 eV per atom. Number 20: final energy -2.7807 eV per atom. Number 21: final energy -2.1291 eV per atom. Number 22: final energy -2.7618 eV per atom. Number 23: final energy -2.1025 eV per atom. Number 24: final energy -2.4609 eV per atom.